The following is a PBE+U calculation of crystalline ZnCrF4 at its relaxed geometry, from the Alexandria database.

Results
Energy, eV per cell: -30.58

Unit cell a=6.0335 b=6.0335 c=6.0335 alpha=141.27 beta=141.27 gamma=55.93
Fractional coordinates of all 6 atoms:
Zn: 0.0000 0.0000 0.0000
Cr: 0.7500 0.2500 0.5000
F: 0.2086 0.2086 0.0000
F: 0.5304 0.0304 0.5000
F: 0.7914 0.7914 0.0000
F: 0.9696 0.4696 0.5000